! Nd3Y4Ho5 | the Alexandria database | PBE-GGA | relaxed; values from VASP
&SYSTEM
  ibrav = 0, nat = 12, ntyp = 3
/
ATOMIC_SPECIES
Nd 144.24 Nd.upf
Ho 164.93 Ho.upf
Y 88.91 Y.upf
CELL_PARAMETERS angstrom
-2.1828 -5.8624 3.4746
-3.1992 3.9293 -10.1161
7.7232 -7.1910 7.4156
ATOMIC_POSITIONS angstrom
Nd 1.5733 -3.9705 -2.0417
Ho 2.7702 -6.5267 5.4451
Ho 3.5892 -5.3318 0.5956
Nd 0.7679 -5.1536 2.8158
Y 2.4914 -8.2504 2.3430
Y 0.4860 -6.9002 -0.3081
Y -0.1501 -0.8737 -1.5690
Ho -1.2480 -3.7923 0.1785
Ho -3.2334 -2.4293 -2.4512
Y 1.8553 -2.2239 1.0821
Nd 3.8616 -3.5955 3.7078
Ho 5.5746 -6.6948 3.2253
! Space group: P-1
! ΔE to the lowest computed polymorph, eV per atom: 0.000